(1)
4
Lattice="5.159 0.000 0.000 0.000 5.159 0.000 0.000 0.000 5.159" Properties=species:S:1:pos:R:3 comment="PrSm3 PBE optimized geometry" vol_a3_per_atom=34.32 delta_e_f_ev_per_atom=0.016 space_group=Pm-3m polymorph_energy_ev_per_atom=0.002 total_magnetization_mub_per_fu=0.0 pbc="T T T"
Pr 0.000 0.000 0.000
Sm 0.000 2.579 2.579
Sm 2.579 0.000 2.579
Sm 2.579 2.579 0.000

(2)
8
Lattice="7.395 0.000 0.000 -3.698 6.404 0.000 0.000 0.000 5.876" Properties=species:S:1:pos:R:3 comment="PrSm3 PBE optimized geometry" vol_a3_per_atom=34.79 delta_e_f_ev_per_atom=0.028 space_group=P6_3/mmc polymorph_energy_ev_per_atom=0.014 total_magnetization_mub_per_fu=0.0 pbc="T T T"
Pr 0.000 4.270 1.469
Pr 3.698 2.135 4.407
Sm 0.000 2.130 4.407
Sm -1.853 5.339 4.407
Sm 1.845 1.065 1.469
Sm 1.853 5.339 4.407
Sm 5.551 1.065 1.469
Sm 3.698 4.275 1.469

(3)
5
Lattice="1.841 1.063 15.013 -1.841 1.063 15.013 0.000 -2.125 15.013" Properties=species:S:1:pos:R:3 comment="Pr3Sm2 PBE optimized geometry" vol_a3_per_atom=35.24 delta_e_f_ev_per_atom=0.011 space_group=R-3m total_magnetization_mub_per_fu=0.0 pbc="T T T"
Pr 0.000 0.000 0.000
Pr 0.000 0.000 18.063
Pr 0.000 0.000 26.977
Sm 0.000 0.000 8.972
Sm 0.000 0.000 36.068

(4)
9
Lattice="6.409 0.000 0.000 -3.204 5.550 0.000 0.000 0.000 9.026" Properties=species:S:1:pos:R:3 comment="Pr7Sm2 PBE optimized geometry" vol_a3_per_atom=35.68 delta_e_f_ev_per_atom=0.012 space_group=P-31m polymorph_energy_ev_per_atom=0.000 total_magnetization_mub_per_fu=0.0 pbc="T T T"
Pr 0.000 0.000 0.000
Pr -1.069 1.852 6.035
Pr -2.135 3.698 2.992
Pr 2.139 0.000 6.035
Pr 1.069 1.852 2.992
Pr 4.270 0.000 2.992
Pr 2.135 3.698 6.035
Sm 0.000 3.700 0.000
Sm 3.204 1.850 0.000

(5)
11
Lattice="4.679 -6.741 0.000 4.679 6.741 0.000 -2.073 0.000 6.185" Properties=species:S:1:pos:R:3 comment="Pr5Sm6 PBE optimized geometry" vol_a3_per_atom=35.47 delta_e_f_ev_per_atom=0.130 space_group=C2/m polymorph_energy_ev_per_atom=0.023 total_magnetization_mub_per_fu=0.0 pbc="T T T"
Pr 0.000 0.000 0.000
Pr 3.643 4.988 3.092
Pr 4.679 3.221 0.000
Pr 4.679 -3.221 0.000
Pr 3.643 -4.988 3.092
Sm 2.341 1.756 2.039
Sm 1.421 0.000 5.042
Sm 2.341 -1.756 2.039
Sm 4.945 1.756 4.146
Sm 5.865 0.000 1.143
Sm 4.945 -1.756 4.146

(6)
9
Lattice="-5.561 5.561 2.622 5.561 -5.561 2.622 5.561 5.561 -2.622" Properties=species:S:1:pos:R:3 comment="Pr8Sm PBE optimized geometry" vol_a3_per_atom=36.04 delta_e_f_ev_per_atom=0.012 space_group=I4/mmm total_magnetization_mub_per_fu=0.0 pbc="T T T"
Pr 3.702 0.000 0.000
Pr 7.421 0.000 0.000
Pr 0.000 3.702 0.000
Pr 3.715 3.715 0.000
Pr 1.846 -1.846 2.622
Pr -1.846 1.846 2.622
Pr 1.846 1.846 2.622
Pr 0.000 7.421 0.000
Sm 0.000 0.000 0.000

(7)
4
Lattice="3.648 0.000 0.000 0.000 5.165 0.000 0.000 0.000 7.299" Properties=species:S:1:pos:R:3 comment="PrSm3 PBE optimized geometry" vol_a3_per_atom=34.38 delta_e_f_ev_per_atom=0.014 space_group=Pmmm polymorph_energy_ev_per_atom=0.000 total_magnetization_mub_per_fu=0.0 pbc="T T T"
Pr 0.000 0.000 0.000
Sm 0.000 0.000 3.649
Sm 1.824 2.582 1.843
Sm 1.824 2.582 5.456

(8)
9
Lattice="6.324 0.000 0.000 -3.162 5.477 0.000 0.000 0.000 8.913" Properties=species:S:1:pos:R:3 comment="Pr2Sm7 PBE optimized geometry" vol_a3_per_atom=34.30 delta_e_f_ev_per_atom=0.014 space_group=P-31m total_magnetization_mub_per_fu=0.0 pbc="T T T"
Pr 0.000 3.651 0.000
Pr 3.162 1.826 0.000
Sm 0.000 0.000 0.000
Sm -1.052 1.822 5.926
Sm -2.110 3.655 2.986
Sm 2.104 0.000 5.926
Sm 1.052 1.822 2.986
Sm 4.220 0.000 2.986
Sm 2.110 3.655 5.926

Q: What is the formula in the sixth record?
A: Pr8Sm